A relaxed InPdNO2 crystal, computed with GGA-PBE.

Cell and atoms, written as CIF:
```
data_InPdNO2
_space_group_name_H-M_alt 'P 1'
_space_group_IT_number 1
_space_group_name_Hall 'P 1'
_cell_length_a 4.201
_cell_length_b 4.201
_cell_length_c 4.240
_cell_angle_alpha 90.00
_cell_angle_beta 90.00
_cell_angle_gamma 90.00
loop_
_atom_site_label
_atom_site_type_symbol
_atom_site_fract_x
_atom_site_fract_y
_atom_site_fract_z
N1 N 0.000 0.000 0.500
O1 O 0.000 0.500 0.000
O2 O 0.500 0.000 0.000
Pd1 Pd 0.500 0.500 0.500
In1 In 0.000 0.000 0.000
```

Properties
Formation energy without anion corrections (kJ/mol of atoms): 72.64